Record 1
Compound: Na2UInCl6
Source: Alexandria
Functional: PBE-GGA
Structure: optimized geometry

Cell: 7.315 7.315 7.839 Å, 62.19 62.18 60.00°
Last column: magnetic moment on the atom in μB.
Element x y z (fractional)
Cl  0.721  0.156  0.759  -0.01
Cl  0.365  0.721  0.759  -0.01
Cl  0.929  0.593  0.236  -0.01
Cl  0.156  0.365  0.759  -0.01
Cl  0.593  0.243  0.236  -0.01
Cl  0.243  0.929  0.236  -0.01
In  0.806  0.806  0.583  0.00
Na  0.008  0.008  0.977  0.00
Na  0.521  0.521  0.438  0.00
U  0.322  0.322  0.034  2.90

Computed properties:
E_form (uncorrected)   -1.550 eV per atom
DFT total energy   -4.3246 eV/atom
Total moment   3.00 μB per cell

***

Record 2
Compound: Na3VIn3Cl8
Source: Alexandria
Functional: PBE-GGA
Structure: optimized geometry

Cell: 8.133 8.138 8.795 Å, 117.61 90.00 119.98°
Last column: magnetic moment on the atom in μB.
Element x y z (fractional)
Cl  0.263  0.526  0.290  0.00
Cl  0.788  0.020  0.308  -0.01
Cl  0.232  0.020  0.308  -0.01
Cl  0.212  0.980  0.692  -0.01
Cl  0.737  0.474  0.710  0.00
Cl  0.768  0.980  0.692  -0.01
Cl  0.788  0.576  0.308  -0.01
Cl  0.212  0.424  0.692  -0.01
In  0.500  0.500  0.000  0.00
In  0.000  0.500  0.000  0.00
In  0.000  0.000  0.000  0.00
Na  0.500  0.000  0.500  0.00
Na  0.000  0.500  0.500  0.00
Na  0.500  0.500  0.500  0.00
V  0.000  0.000  0.500  2.61

Computed properties:
E_form (uncorrected)   -1.254 eV per atom
DFT total energy   -3.6587 eV/atom
Total moment   3.00 μB per cell

***

Record 3
Compound: Na2VInCl6
Source: Alexandria
Functional: PBE-GGA
Structure: optimized geometry

Cell: 6.971 6.970 7.514 Å, 62.35 62.34 59.98°
Last column: magnetic moment on the atom in μB.
Element x y z (fractional)
Cl  0.973  0.549  0.223  -0.02
Cl  0.384  0.692  0.781  -0.02
Cl  0.255  0.973  0.223  -0.02
Cl  0.692  0.143  0.781  -0.02
Cl  0.143  0.384  0.781  -0.02
Cl  0.548  0.255  0.223  -0.02
Na  0.524  0.524  0.427  0.00
Na  0.003  0.003  0.990  0.00
V  0.329  0.328  0.014  1.91
In  0.809  0.809  0.573  -0.02

Computed properties:
D(E_F)   9.3 states/eV/f.u.
E_form (uncorrected)   -1.355 eV per atom
DFT total energy   -3.9125 eV/atom
Total moment   2.00 μB per cell